8
Lattice="-2.4613 2.4613 4.9747 2.4613 -2.4613 4.9747 2.4613 2.4613 -4.9747" Properties=species:S:1:pos:R:3 comment="Mg2CF (PBE, optimized geometry)" space_group="No. 122" dos_ef_per_ev_atom=0.10 magnetic_moment_mub_per_atom=0.250 relative_energy_mev_per_atom=0 e_tot_ev_per_cell=-33.8 e_form_raw_mev_per_atom=-653 pbc="T T T"
Mg 3.6920 1.1892 -1.2437
Mg 1.1892 1.2307 1.2437
Mg -1.2307 1.2721 3.7310
Mg 1.2721 1.2307 6.2184
C 0.0000 0.0000 0.0000
C 0.0000 2.4613 2.4874
F 2.4613 0.0000 2.4874
F 0.0000 0.0000 4.9747



3
Lattice="0.0000 2.5428 8.3509 1.6068 0.0000 8.3509 1.6068 2.5428 0.0000" Properties=species:S:1:pos:R:3 comment="HgOsPb (PBE, optimized geometry)" space_group="No. 42" dos_ef_per_ev_atom=1.03 magnetic_moment_mub_per_atom=0.033 relative_energy_mev_per_atom=107 formation_enthalpy_0k_mev_per_atom=934.1 e_tot_ev_per_cell=-12.4 pbc="T T T"
Hg 0.0000 0.0000 0.0000
Os 1.6068 2.5428 10.7511
Pb 1.6068 2.5428 4.7302



3
Lattice="-1.5189 1.8777 6.4913 1.5189 -1.8777 6.4913 1.5189 1.8777 -6.4913" Properties=species:S:1:pos:R:3 comment="KTaCo (PBE, optimized geometry)" space_group="No. 44" dos_ef_per_ev_atom=0.92 magnetic_moment_mub_per_atom=0.000 relative_energy_mev_per_atom=3 formation_enthalpy_0k_mev_per_atom=768.6 e_tot_ev_per_cell=-17.8 pbc="T T T"
K 0.0000 0.0000 0.0000
Ta 0.0000 0.0000 9.6060
Co 0.0000 0.0000 3.3056



10
Lattice="-3.9289 3.9289 5.3970 3.9289 -3.9289 5.3970 3.9289 3.9289 -5.3970" Properties=species:S:1:pos:R:3 comment="Rb3PdCl6 (PBE, optimized geometry)" space_group="No. 139" dos_ef_per_ev_atom=0.29 magnetic_moment_mub_per_atom=0.103 relative_energy_mev_per_atom=35 e_tot_ev_per_cell=-32.1 e_form_raw_mev_per_atom=-1295 pbc="T T T"
Rb 0.0000 0.0000 0.0000
Rb 3.9289 0.0000 2.6985
Rb 0.0000 3.9289 2.6985
Pd 0.0000 0.0000 5.3970
Cl 2.1756 2.1756 0.0000
Cl 1.7532 -1.7532 5.3970
Cl 0.0000 0.0000 3.0667
Cl 0.0000 0.0000 7.7273
Cl -1.7532 1.7532 5.3970
Cl 1.7532 1.7532 5.3970



8
Lattice="-5.3571 5.3571 1.9872 5.3571 -5.3571 1.9872 5.3571 5.3571 -1.9872" Properties=species:S:1:pos:R:3 comment="Sr2TcC (PBE, optimized geometry)" space_group="No. 122" dos_ef_per_ev_atom=0.92 magnetic_moment_mub_per_atom=0.001 formation_enthalpy_0k_mev_per_atom=382.6 e_tot_ev_per_cell=-42.8 pbc="T T T"
Sr -0.6277 2.6785 0.4968
Sr 2.6785 4.7294 1.4904
Sr 0.6277 8.0356 0.4968
Sr -2.6785 5.9848 1.4904
Tc 5.3571 0.0000 0.9936
Tc 0.0000 0.0000 1.9872
C 0.0000 0.0000 0.0000
C 0.0000 5.3571 0.9936



8
Lattice="-2.0041 2.0041 7.5639 2.0041 -2.0041 7.5639 2.0041 2.0041 -7.5639" Properties=species:S:1:pos:R:3 comment="Be2TlCo (PBE, optimized geometry)" space_group="No. 141" dos_ef_per_ev_atom=0.39 magnetic_moment_mub_per_atom=0.000 relative_energy_mev_per_atom=352 formation_enthalpy_0k_mev_per_atom=555.9 e_tot_ev_per_cell=-29.4 pbc="T T T"
Be 0.0000 0.0000 0.0000
Be 1.0021 1.0021 -3.7820
Be 1.0021 -1.0021 3.7820
Be 0.0000 2.0041 0.0000
Tl 2.0041 1.0021 1.8910
Tl 0.0000 1.0021 5.6729
Co 2.0041 -1.0021 5.6729
Co 0.0000 3.0062 1.8910